Record 1
Material: La6SiGe2I3
Method: DFT, PBE
State: relaxed

Cell: 7.7214 7.7214 8.1898 Å, 99.05 99.05 119.99°
Element x y z (fractional)
La (0.9323, 0.6016, 0.7969)
La (0.7371, 0.7371, 0.2032)
La (0.0677, 0.3984, 0.2031)
La (0.6016, 0.9323, 0.7969)
La (0.2629, 0.2629, 0.7968)
La (0.3984, 0.0677, 0.2031)
Si (0.0000, 0.0000, 0.0000)
Ge (0.3334, 0.6666, 0.0000)
Ge (0.6666, 0.3334, 0.0000)
I (0.1673, 0.8327, 0.5000)
I (0.8327, 0.1673, 0.5000)
I (0.5000, 0.5000, 0.5000)

Results
Density, g/cm3: 5.74
E_form (uncorrected), eV per atom: -1.0731

***

Record 2
Material: Ce3TeO3
Method: DFT, PBE
State: relaxed

Cell: 6.9203 6.9203 8.5792 Å, 66.21 66.21 60.00°
Element x y z (fractional)
Ce (0.2344, 0.5591, 0.3085)
Ce (0.8979, 0.2344, 0.3085)
Ce (0.5591, 0.8979, 0.3085)
Ce (0.4409, 0.1021, 0.6915)
Ce (0.1021, 0.7656, 0.6915)
Ce (0.7656, 0.4409, 0.6915)
Te (0.3334, 0.3334, 0.9998)
Te (0.6666, 0.6666, 0.0002)
O (0.4555, 0.7950, 0.6217)
O (0.7950, 0.1278, 0.6217)
O (0.1278, 0.4555, 0.6217)
O (0.8722, 0.5445, 0.3783)
O (0.2050, 0.8722, 0.3783)
O (0.5445, 0.2050, 0.3783)

Results
Density, g/cm3: 6.29
Polymorph energy (0 for the lowest one), meV/atom: 0.0
E_form (uncorrected), eV per atom: -2.7631

***

Record 3
Material: PrDyPb
Method: DFT, PBE
State: relaxed

Cell: 4.2031 4.2031 5.9007 Å, 110.86 110.86 90.00°
Element x y z (fractional)
Pb (0.2883, 0.2883, 0.5766)
Pr (0.6231, 0.6231, 0.2463)
Dy (0.9386, 0.9386, 0.8771)

Results
Energy relative to the elements, eV per atom: -0.294
Density, g/cm3: 9.42
Polymorph energy (0 for the lowest one), meV/atom: 151.3

***

no.,V (Å³ per cell)
1,401.5
2,314.9
3,90.1